[1]
Below is CdIr2Se after structural relaxation, with properties calculated at the PBE level.

Values from the calculation:
The calculation puts the formation energy without anion corrections at 25 kJ/mol of atoms. The polymorph energy (0 for the lowest one) is 0.1165 eV per atom.

a b c (Å): 2.9246 3.8470 6.3328
angles (deg): 90.00 90.00 90.00
Element x y z (fractional)
1 Cd 0.0000 0.0000 0.0000
2 Ir 0.0000 0.0000 0.4791
3 Ir 0.5000 0.5000 0.2426
4 Se 0.5000 0.5000 0.6316



[2]
Below is CdIr2Se after structural relaxation, with properties calculated at the PBE level.

Values from the calculation:
The calculation puts the formation energy without anion corrections at 25 kJ/mol of atoms. The polymorph energy (0 for the lowest one) is 0.1177 eV per atom.

a b c (Å): 5.5320 5.5320 5.1095
angles (deg): 113.54 113.54 30.57
Element x y z (fractional)
1 Cd 0.0000 0.0000 0.0000
2 Ir 0.2393 0.2393 0.6094
3 Ir 0.5108 0.5108 0.5214
4 Se 0.8026 0.8026 0.2888



[3]
Below is CdIr4Se after structural relaxation, with properties calculated at the PBE level.

Values from the calculation:
The calculation puts the formation energy without anion corrections at 61 kJ/mol of atoms.

a b c (Å): 5.2757 5.2757 5.2757
angles (deg): 60.00 60.00 60.00
Element x y z (fractional)
1 Cd 0.0000 0.0000 0.0000
2 Ir 0.3751 0.3751 0.3751
3 Ir 0.3751 0.3751 0.8748
4 Ir 0.3751 0.8748 0.3751
5 Ir 0.8748 0.3751 0.3751
6 Se 0.7500 0.7500 0.7500



[4]
Below is CdIr2Se after structural relaxation, with properties calculated at the PBE level.

Values from the calculation:
The calculation puts the formation energy without anion corrections at 51 kJ/mol of atoms. The polymorph energy (0 for the lowest one) is 0.3793 eV per atom.

a b c (Å): 5.8193 5.8193 5.8193
angles (deg): 103.76 103.76 121.63
Element x y z (fractional)
1 Cd 0.0000 0.0000 0.0000
2 Cd 0.7500 0.2500 0.5000
3 Ir 0.1797 0.6250 0.0547
4 Ir 0.3750 0.4297 0.5547
5 Ir 0.5703 0.1250 0.9453
6 Ir 0.8750 0.8203 0.4453
7 Se 0.2500 0.7500 0.5000
8 Se 0.5000 0.5000 0.0000



[5]
Below is Cd2IrSe2 after structural relaxation, with properties calculated at the PBE level.

Values from the calculation:
The calculation puts the formation energy without anion corrections at 37 kJ/mol of atoms. The polymorph energy (0 for the lowest one) is 0.0000 eV per atom.

a b c (Å): 9.0512 9.0512 9.0512
angles (deg): 157.08 157.08 32.64
Element x y z (fractional)
1 Cd 0.0823 0.0823 0.0000
2 Cd 0.9177 0.9177 0.0000
3 Ir 0.5000 0.5000 0.0000
4 Se 0.2500 0.7500 0.5000
5 Se 0.7500 0.2500 0.5000



[6]
Below is CdIr2Se after structural relaxation, with properties calculated at the PBE level.

Values from the calculation:
The calculation puts the formation energy without anion corrections at 55 kJ/mol of atoms. The polymorph energy (0 for the lowest one) is 0.4293 eV per atom.

a b c (Å): 5.0300 5.0300 5.0300
angles (deg): 132.64 132.64 69.21
Element x y z (fractional)
1 Cd 0.0000 0.0000 0.0000
2 Ir 0.2500 0.7500 0.5000
3 Ir 0.5000 0.5000 0.0000
4 Se 0.7500 0.2500 0.5000



[7]
Below is Cd2Ir2Se after structural relaxation, with properties calculated at the PBE level.

Values from the calculation:
The calculation puts the formation energy without anion corrections at 24 kJ/mol of atoms. The polymorph energy (0 for the lowest one) is 0.0000 eV per atom.

a b c (Å): 6.6116 6.6116 4.2861
angles (deg): 90.00 90.00 90.00
Element x y z (fractional)
1 Cd 0.1590 0.3410 0.0000
2 Cd 0.3410 0.8410 0.0000
3 Cd 0.6590 0.1590 0.0000
4 Cd 0.8410 0.6590 0.0000
5 Ir 0.1443 0.6443 0.5000
6 Ir 0.3557 0.1443 0.5000
7 Ir 0.6443 0.8557 0.5000
8 Ir 0.8557 0.3557 0.5000
9 Se 0.0000 0.0000 0.5000
10 Se 0.5000 0.5000 0.5000



[8]
Below is CdIr2Se after structural relaxation, with properties calculated at the PBE level.

Values from the calculation:
The calculation puts the formation energy without anion corrections at 27 kJ/mol of atoms. The polymorph energy (0 for the lowest one) is 0.1355 eV per atom.

a b c (Å): 8.7401 8.7401 8.7401
angles (deg): 19.69 19.69 19.69
Element x y z (fractional)
1 Cd 0.0000 0.0000 0.0000
2 Ir 0.2428 0.2428 0.2428
3 Ir 0.7572 0.7572 0.7572
4 Se 0.5000 0.5000 0.5000



[9]
Below is CdIr2Se after structural relaxation, with properties calculated at the PBE level.

Values from the calculation:
The calculation puts the formation energy without anion corrections at 32 kJ/mol of atoms. The polymorph energy (0 for the lowest one) is 0.1883 eV per atom.

a b c (Å): 2.9572 4.1267 5.6425
angles (deg): 90.00 90.00 90.00
Element x y z (fractional)
1 Cd 0.0000 0.0000 0.0000
2 Ir 0.5000 0.5000 0.2450
3 Ir 0.5000 0.5000 0.7550
4 Se 0.5000 0.0000 0.5000



[10]
Below is CdIr2Se after structural relaxation, with properties calculated at the PBE level.

Values from the calculation:
The calculation puts the formation energy without anion corrections at 56 kJ/mol of atoms. The polymorph energy (0 for the lowest one) is 0.4377 eV per atom.

a b c (Å): 4.5535 4.5535 4.5535
angles (deg): 60.00 60.00 60.00
Element x y z (fractional)
1 Cd 0.0000 0.0000 0.0000
2 Ir 0.2500 0.2500 0.2500
3 Ir 0.7500 0.7500 0.7500
4 Se 0.5000 0.5000 0.5000



[11]
Below is CdIr2Se after structural relaxation, with properties calculated at the PBE level.

Values from the calculation:
The calculation puts the formation energy without anion corrections at 46 kJ/mol of atoms. The polymorph energy (0 for the lowest one) is 0.3337 eV per atom.

a b c (Å): 4.6297 4.6297 3.1064
angles (deg): 90.00 90.00 90.00
Element x y z (fractional)
1 Cd 0.0000 0.0000 0.0000
2 Ir 0.0000 0.5000 0.5000
3 Ir 0.5000 0.0000 0.5000
4 Se 0.5000 0.5000 0.0000



[12]
Below is CdIr2Se after structural relaxation, with properties calculated at the PBE level.

Values from the calculation:
The calculation puts the formation energy without anion corrections at 37 kJ/mol of atoms. The polymorph energy (0 for the lowest one) is 0.2403 eV per atom.

a b c (Å): 2.8463 2.8463 10.6234
angles (deg): 90.00 90.00 120.85
Element x y z (fractional)
1 Cd 0.0000 0.0000 0.0000
2 Ir 0.0000 0.0000 0.5478
3 Ir 0.5000 0.5000 0.7617
4 Se 0.5000 0.5000 0.3442



[13]
Below is CdIr2Se after structural relaxation, with properties calculated at the PBE level.

Values from the calculation:
The calculation puts the formation energy without anion corrections at 65 kJ/mol of atoms. The polymorph energy (0 for the lowest one) is 0.5290 eV per atom.

a b c (Å): 4.5895 4.5895 4.5895
angles (deg): 60.00 60.00 60.00
Element x y z (fractional)
1 Cd 0.0000 0.0000 0.0000
2 Ir 0.2500 0.2500 0.2500
3 Ir 0.5000 0.5000 0.5000
4 Se 0.7500 0.7500 0.7500



[14]
Below is CdIr2Se after structural relaxation, with properties calculated at the PBE level.

Values from the calculation:
The calculation puts the formation energy without anion corrections at 27 kJ/mol of atoms. The polymorph energy (0 for the lowest one) is 0.1309 eV per atom.

a b c (Å): 10.1450 10.1450 10.1450
angles (deg): 16.60 16.60 16.60
Element x y z (fractional)
1 Cd 0.0000 0.0000 0.0000
2 Ir 0.2548 0.2548 0.2548
3 Ir 0.5168 0.5168 0.5168
4 Se 0.7870 0.7870 0.7870



[15]
Below is CdIr2Se after structural relaxation, with properties calculated at the PBE level.

Values from the calculation:
The calculation puts the formation energy without anion corrections at 31 kJ/mol of atoms. The polymorph energy (0 for the lowest one) is 0.1790 eV per atom.

a b c (Å): 3.0123 3.0123 7.2897
angles (deg): 90.00 90.00 90.00
Element x y z (fractional)
1 Cd 0.0000 0.0000 0.0000
2 Ir 0.5000 0.5000 0.2779
3 Ir 0.5000 0.5000 0.7221
4 Se 0.0000 0.0000 0.5000



[16]
Below is CdIr2Se after structural relaxation, with properties calculated at the PBE level.

Values from the calculation:
The calculation puts the formation energy without anion corrections at 25 kJ/mol of atoms. The polymorph energy (0 for the lowest one) is 0.1149 eV per atom.

a b c (Å): 2.9482 2.9482 8.1916
angles (deg): 90.00 90.00 90.00
Element x y z (fractional)
1 Cd 0.0000 0.0000 0.0000
2 Ir 0.0000 0.0000 0.4609
3 Ir 0.5000 0.5000 0.2411
4 Se 0.5000 0.5000 0.6588



[17]
Below is CdIr4Se8 after structural relaxation, with properties calculated at the PBE level.

Values from the calculation:
The calculation puts the formation energy without anion corrections at -29 kJ/mol of atoms.

a b c (Å): 7.5616 7.5616 7.5616
angles (deg): 60.00 60.00 60.00
Element x y z (fractional)
1 Cd 0.0000 0.0000 0.0000
2 Ir 0.1350 0.6217 0.6217
3 Ir 0.6217 0.1350 0.6217
4 Ir 0.6217 0.6217 0.1350
5 Ir 0.6217 0.6217 0.6217
6 Se 0.3881 0.3881 0.3881
7 Se 0.3881 0.3881 0.8356
8 Se 0.3881 0.8356 0.3881
9 Se 0.4284 0.8572 0.8572
10 Se 0.8356 0.3881 0.3881
11 Se 0.8572 0.4284 0.8572
12 Se 0.8572 0.8572 0.4284
13 Se 0.8572 0.8572 0.8572



[18]
Below is CdIr2Se after structural relaxation, with properties calculated at the PBE level.

Values from the calculation:
The calculation puts the formation energy without anion corrections at 50 kJ/mol of atoms. The polymorph energy (0 for the lowest one) is 0.3687 eV per atom.

a b c (Å): 4.7765 4.7765 4.7765
angles (deg): 127.58 127.58 77.31
Element x y z (fractional)
1 Cd 0.0000 0.0000 0.0000
2 Ir 0.2500 0.7500 0.5000
3 Ir 0.7500 0.2500 0.5000
4 Se 0.5000 0.5000 0.0000



[19]
Below is CdIr2Se after structural relaxation, with properties calculated at the PBE level.

Values from the calculation:
The calculation puts the formation energy without anion corrections at 46 kJ/mol of atoms. The polymorph energy (0 for the lowest one) is 0.3305 eV per atom.

a b c (Å): 2.8890 2.8890 9.2730
angles (deg): 90.00 90.00 120.11
Element x y z (fractional)
1 Cd 0.0000 0.0000 0.0000
2 Ir 0.5000 0.5000 0.2602
3 Ir 0.5000 0.5000 0.7398
4 Se 0.0000 0.0000 0.5000



[20]
Below is Cd2Ir2Se after structural relaxation, with properties calculated at the PBE level.

Values from the calculation:
The calculation puts the formation energy without anion corrections at 65 kJ/mol of atoms. The polymorph energy (0 for the lowest one) is 0.4253 eV per atom.

a b c (Å): 7.3798 7.3798 7.3798
angles (deg): 150.77 150.77 41.82
Element x y z (fractional)
1 Cd 0.2500 0.7500 0.5000
2 Cd 0.7500 0.2500 0.5000
3 Ir 0.0935 0.0935 0.0000
4 Ir 0.9065 0.9065 0.0000
5 Se 0.5000 0.5000 0.0000